Entry 1:
First-principles (PBE-GGA) data for crystalline Sm4CdAg2Hg at its relaxed geometry, as listed in Alexandria via LeMat-Bulk.

Summary:
- final energy (hartree per atom) = -0.1307
- calculated formation energy (eV per atom) = -0.3325

a b c (Å): 5.3063 5.3063 9.2258
angles (deg): 73.29 73.29 60.00
Fractional positions:
Sm1 0.8740 0.8740 0.3781
Ag1 0.7464 0.7464 0.7609
Sm2 0.3764 0.3764 0.8708
Sm3 0.6236 0.6236 0.1292
Cd1 0.0000 0.0000 0.0000
Ag2 0.2536 0.2536 0.2391
Sm4 0.1260 0.1260 0.6219
Hg1 0.5000 0.5000 0.5000

***

Entry 2:
First-principles (PBE-GGA) data for crystalline Ca2Zn4In3Ga at its relaxed geometry, as listed in Alexandria via LeMat-Bulk.

Summary:
- final energy (hartree per atom) = -0.0832
- calculated formation energy (eV per atom) = -0.2292

a b c (Å): 4.2402 4.2402 12.3644
angles (deg): 90.00 90.00 90.00
Fractional positions:
Zn1 0.5000 0.5000 0.0000
Ca1 0.0000 0.5000 0.7329
In1 0.5000 0.0000 0.8555
Ca2 0.5000 0.0000 0.2671
Zn2 0.5000 0.0000 0.6391
Ga1 0.5000 0.5000 0.5000
Zn3 0.0000 0.5000 0.3609
Zn4 0.0000 0.0000 0.0000
In2 0.0000 0.5000 0.1445
In3 0.0000 0.0000 0.5000

***

Entry 3:
First-principles (PBE-GGA) data for crystalline CeTePdBr at its relaxed geometry, as listed in Alexandria via LeMat-Bulk.

Summary:
- final energy (hartree per atom) = -0.1892
- energy relative to the elements, uncorrected (eV per atom) = -1.1623

a b c (Å): 4.4871 4.4871 14.8857
angles (deg): 81.33 81.33 60.00
Last column: magnetic moment on the atom in μB.
Fractional positions:
Pd1 0.3869 0.3869 0.8394  -0.01
Br1 0.7953 0.7953 0.6142  -0.01
Te1 0.2942 0.2942 0.1175  -0.01
Ce1 0.9122 0.9122 0.2633  0.93
Pd2 0.6131 0.6131 0.1606  -0.01
Br2 0.2047 0.2047 0.3858  -0.01
Ce2 0.0878 0.0878 0.7367  0.93
Te2 0.7058 0.7058 0.8825  -0.01

***

Entry 4:
First-principles (PBE-GGA) data for crystalline SrSmPb2 at its relaxed geometry, as listed in Alexandria via LeMat-Bulk.

Summary:
- final energy (hartree per atom) = -0.1441
- calculated formation energy (eV per atom) = -0.4654

a b c (Å): 4.5187 6.5097 9.0916
angles (deg): 90.00 90.00 90.00
Fractional positions:
Sr1 0.5000 0.6193 0.8126
Pb1 0.5000 0.9256 0.4619
Pb2 0.0000 0.6064 0.5366
Pb3 0.5000 0.0744 0.9619
Sm1 0.0000 0.8691 0.1889
Sr2 0.5000 0.3807 0.3126
Sm2 0.0000 0.1309 0.6889
Pb4 0.0000 0.3936 0.0366

***

Entry 5:
First-principles (PBE-GGA) data for crystalline Th2OsCl at its relaxed geometry, as listed in Alexandria via LeMat-Bulk.

Summary:
- final energy (hartree per atom) = -0.2873
- relative energy among the computed polymorphs (eV/f.u.) = 0.24
- energy relative to the elements, uncorrected (eV per atom) = -0.8391

a b c (Å): 4.1200 4.1200 7.8079
angles (deg): 90.00 90.00 60.00
Fractional positions:
Os1 0.0000 0.0000 0.0000
Cl1 0.0000 0.0000 0.5000
Th1 0.6667 0.6667 0.1935
Th2 0.3333 0.3333 0.8065

***

Entry 6:
First-principles (PBE-GGA) data for crystalline BeVSiIr at its relaxed geometry, as listed in Alexandria via LeMat-Bulk.

Summary:
- final energy (hartree per atom) = -0.2664
- energy relative to the elements, uncorrected (eV per atom) = -0.4675

a b c (Å): 4.1008 4.1008 4.1008
angles (deg): 60.00 60.00 60.00
Last column: magnetic moment on the atom in μB.
Fractional positions:
Be1 0.2500 0.2500 0.2500  0.01
Si1 0.7500 0.7500 0.7500  0.00
Ir1 0.0000 0.0000 0.0000  0.11
V1 0.5000 0.5000 0.5000  2.04

***

Entry 7:
First-principles (PBE-GGA) data for crystalline DyPuBiO6 at its relaxed geometry, as listed in Alexandria via LeMat-Bulk.

Summary:
- final energy (hartree per atom) = -0.3035
- energy relative to the elements, uncorrected (eV per atom) = -2.4184

a b c (Å): 5.7954 5.7954 9.5655
angles (deg): 90.00 90.00 120.00
Last column: magnetic moment on the atom in μB.
Fractional positions:
O1 0.6619 0.6361 0.1353  -0.08
O2 0.3639 0.0258 0.1353  -0.08
O3 0.6361 0.6619 0.6353  -0.08
O4 0.9742 0.6361 0.3647  -0.08
Dy1 0.3333 0.6667 0.2500  0.00
O5 0.3381 0.9742 0.6353  -0.08
O6 0.3639 0.3381 0.3647  -0.08
Pu1 0.3333 0.6667 0.7500  2.49
Pu2 0.6667 0.3333 0.2500  2.49
O7 0.0258 0.3639 0.6353  -0.08
O8 0.6361 0.9742 0.8647  -0.08
O9 0.0258 0.6619 0.8647  -0.08
Bi1 0.0000 0.0000 0.5000  0.01
Bi2 0.0000 0.0000 0.0000  0.01
Dy2 0.6667 0.3333 0.7500  0.00
O10 0.9742 0.3381 0.1353  -0.08
O11 0.6619 0.0258 0.3647  -0.08
O12 0.3381 0.3639 0.8647  -0.08

***

Entry 8:
First-principles (PBE-GGA) data for crystalline RbTc2SeS at its relaxed geometry, as listed in Alexandria via LeMat-Bulk.

Summary:
- final energy (hartree per atom) = -0.2309
- energy relative to the elements, uncorrected (eV per atom) = -0.4215

a b c (Å): 3.9810 7.5676 8.0986
angles (deg): 105.34 90.00 90.00
Fractional positions:
Rb1 0.7500 0.9526 0.2587
S1 0.7500 0.3292 0.5853
Se1 0.7500 0.2997 0.0721
Tc1 0.7500 0.4951 0.3767
Tc2 0.7500 0.4998 0.8716
S2 0.2500 0.6708 0.4147
Tc3 0.2500 0.5049 0.6233
Se2 0.2500 0.7003 0.9279
Rb2 0.2500 0.0474 0.7413
Tc4 0.2500 0.5002 0.1284

***

Entry 9:
First-principles (PBE-GGA) data for crystalline Cd2In2Sb at its relaxed geometry, as listed in Alexandria via LeMat-Bulk.

Summary:
- final energy (hartree per atom) = -0.0780
- relative energy among the computed polymorphs (eV/f.u.) = 0.43
- energy relative to the elements, uncorrected (eV per atom) = 0.1632

a b c (Å): 4.3948 4.3948 7.6583
angles (deg): 73.33 73.33 90.00
Fractional positions:
Cd1 0.5974 0.5974 0.8051
In1 0.2500 0.7500 0.5000
Cd2 0.4026 0.4026 0.1949
In2 0.7500 0.2500 0.5000
Sb1 0.0000 0.0000 0.0000

***

Entry 10:
First-principles (PBE-GGA) data for crystalline Mg3In4Hg at its relaxed geometry, as listed in Alexandria via LeMat-Bulk.

Summary:
- final energy (hartree per atom) = -0.0685
- calculated formation energy (eV per atom) = 0.1396

a b c (Å): 6.0979 6.0979 6.0979
angles (deg): 90.00 90.00 90.00
Fractional positions:
In1 0.6784 0.3216 0.6784
Hg1 0.0000 0.0000 0.0000
Mg1 0.5000 0.0000 0.0000
In2 0.3216 0.3216 0.3216
Mg2 0.0000 0.0000 0.5000
In3 0.6784 0.6784 0.3216
Mg3 0.0000 0.5000 0.0000
In4 0.3216 0.6784 0.6784

***

Entry 11:
First-principles (PBE-GGA) data for crystalline CePmSm2Se4 at its relaxed geometry, as listed in Alexandria via LeMat-Bulk.

Summary:
- final energy (hartree per atom) = -0.2236
- energy relative to the elements, uncorrected (eV per atom) = -1.8279

a b c (Å): 4.1620 7.2680 7.2593
angles (deg): 70.84 90.00 90.00
Last column: magnetic moment on the atom in μB.
Fractional positions:
Se1 0.0000 0.2476 0.2510  -0.01
Sm1 0.0000 0.0000 0.0000  0.02
Se2 0.5000 0.2480 0.7508  0.00
Ce1 0.5000 0.5000 0.0000  0.77
Sm2 0.5000 0.0000 0.5000  0.00
Pm1 0.0000 0.5000 0.5000  0.02
Se3 0.5000 0.7520 0.2492  0.00
Se4 0.0000 0.7524 0.7490  -0.01

***

Entry 12:
First-principles (PBE-GGA) data for crystalline Y2Pd2Br at its relaxed geometry, as listed in Alexandria via LeMat-Bulk.

Summary:
- final energy (hartree per atom) = -0.2056
- relative energy among the computed polymorphs (eV/f.u.) = 1.60
- energy relative to the elements, uncorrected (eV per atom) = -0.5966

a b c (Å): 5.0385 5.0385 6.3246
angles (deg): 66.53 66.53 90.00
Fractional positions:
Y1 0.7500 0.2500 0.5000
Y2 0.2500 0.7500 0.5000
Pd1 0.3759 0.3759 0.2482
Br1 0.0000 0.0000 0.0000
Pd2 0.6241 0.6241 0.7518

***

Entry 13:
First-principles (PBE-GGA) data for crystalline TlV2SbN at its relaxed geometry, as listed in Alexandria via LeMat-Bulk.

Summary:
- final energy (hartree per atom) = -0.2303
- energy relative to the elements, uncorrected (eV per atom) = 0.3425

a b c (Å): 4.1265 4.9738 4.1265
angles (deg): 90.00 90.00 90.00
Last column: magnetic moment on the atom in μB.
Fractional positions:
V1 0.0000 0.0000 0.5000  1.08
N1 0.0000 0.0000 0.0000  -0.06
V2 0.5000 0.0000 0.0000  0.94
Sb1 0.0000 0.5000 0.0000  -0.04
Tl1 0.5000 0.5000 0.5000  -0.02

***

Entry 14:
First-principles (PBE-GGA) data for crystalline La7Tm3Mg at its relaxed geometry, as listed in Alexandria via LeMat-Bulk.

Summary:
- final energy (hartree per atom) = -0.1572
- calculated formation energy (eV per atom) = 0.2226

a b c (Å): 6.5427 7.7839 7.7840
angles (deg): 84.23 91.82 91.82
Fractional positions:
Tm1 0.0000 0.1605 0.8395
La1 0.2068 0.2406 0.2406
La2 0.7368 0.4369 0.0893
La3 0.2632 0.5631 0.9107
Tm2 0.5000 0.0000 0.0000
La4 0.0000 0.5000 0.5000
La5 0.2632 0.9107 0.5631
Tm3 0.0000 0.8395 0.1605
Mg1 0.5000 0.5000 0.5000
La6 0.7368 0.0893 0.4369
La7 0.7932 0.7594 0.7594

***

Entry 15:
First-principles (PBE-GGA) data for crystalline BaCa4In at its relaxed geometry, as listed in Alexandria via LeMat-Bulk.

Summary:
- final energy (hartree per atom) = -0.0735
- calculated formation energy (eV per atom) = 0.1117

a b c (Å): 7.1353 7.1353 7.1353
angles (deg): 60.00 60.00 60.00
Fractional positions:
Ca1 0.3760 0.8720 0.3760
In1 0.7500 0.7500 0.7500
Ca2 0.8720 0.3760 0.3760
Ba1 0.0000 0.0000 0.0000
Ca3 0.3760 0.3760 0.3760
Ca4 0.3760 0.3760 0.8720

***

Entry 16:
First-principles (PBE-GGA) data for crystalline Zn2SiW at its relaxed geometry, as listed in Alexandria via LeMat-Bulk.

Summary:
- final energy (hartree per atom) = -0.1866
- energy relative to the elements, uncorrected (eV per atom) = 0.1528

a b c (Å): 5.1630 5.1630 4.4537
angles (deg): 84.25 84.25 30.18
Fractional positions:
Zn1 0.9899 0.9899 0.0055
Si1 0.7500 0.7500 0.7500
W1 0.2500 0.2500 0.2500
Zn2 0.5101 0.5101 0.4945

***

Entry 17:
First-principles (PBE-GGA) data for crystalline AlCu2Tc at its relaxed geometry, as listed in Alexandria via LeMat-Bulk.

Summary:
- final energy (hartree per atom) = -0.2049
- calculated formation energy (eV per atom) = -0.0004

a b c (Å): 5.0457 5.0457 5.0457
angles (deg): 148.04 128.10 62.26
Fractional positions:
Cu1 0.7627 0.2627 0.5000
Al1 0.2381 0.7381 0.5000
Cu2 0.9996 0.9996 0.0000
Tc1 0.4997 0.4997 0.0000

***

Entry 18:
First-principles (PBE-GGA) data for crystalline NbFeIr at its relaxed geometry, as listed in Alexandria via LeMat-Bulk.

Summary:
- final energy (hartree per atom) = -0.3405
- calculated formation energy (eV per atom) = -0.1344

a b c (Å): 4.6640 5.3440 7.5279
angles (deg): 105.70 90.00 90.00
Last column: magnetic moment on the atom in μB.
Fractional positions:
Ir1 0.8103 0.3046 0.9068  0.13
Ir2 0.3103 0.1954 0.0932  0.13
Fe1 0.7277 0.9677 0.5798  2.43
Fe2 0.2723 0.0323 0.4202  2.43
Ir3 0.6897 0.8046 0.9068  0.13
Nb1 0.7970 0.1351 0.2515  -0.20
Fe3 0.2277 0.5323 0.4202  2.43
Nb2 0.7030 0.6351 0.2515  -0.20
Nb3 0.2970 0.3649 0.7485  -0.20
Nb4 0.2030 0.8649 0.7485  -0.20
Ir4 0.1897 0.6954 0.0932  0.13
Fe4 0.7723 0.4677 0.5798  2.43

***

Entry 19:
First-principles (PBE-GGA) data for crystalline Ce2HoAu6 at its relaxed geometry, as listed in Alexandria via LeMat-Bulk.

Summary:
- final energy (hartree per atom) = -0.1720
- calculated formation energy (eV per atom) = -0.6693

a b c (Å): 5.3448 5.3455 8.6758
angles (deg): 72.06 81.01 59.53
Last column: magnetic moment on the atom in μB.
Fractional positions:
Au1 0.1658 0.5077 0.8245  0.00
Au2 0.6729 0.6679 0.5000  0.00
Ce1 0.5000 0.1654 0.1693  0.69
Au3 0.8342 0.1678 0.8245  0.00
Au4 0.1658 0.8322 0.1755  0.00
Ce2 0.5000 0.8346 0.8307  0.69
Au5 0.3271 0.3321 0.5000  0.00
Au6 0.8342 0.4923 0.1755  0.00
Ho1 0.0000 0.0000 0.5000  0.02

***

Entry 20:
First-principles (PBE-GGA) data for crystalline AlCd2Ru2 at its relaxed geometry, as listed in Alexandria via LeMat-Bulk.

Summary:
- final energy (hartree per atom) = -0.1757
- calculated formation energy (eV per atom) = 0.0435

a b c (Å): 6.3519 6.3519 4.4093
angles (deg): 90.00 90.00 90.00
Last column: magnetic moment on the atom in μB.
Fractional positions:
Cd1 0.6700 0.8300 0.5000  0.00
Ru1 0.6357 0.1357 0.0000  0.50
Al1 0.0000 0.0000 0.0000  -0.01
Cd2 0.1700 0.6700 0.5000  -0.01
Cd3 0.3300 0.1700 0.5000  0.00
Ru2 0.8643 0.6357 0.0000  0.51
Cd4 0.8300 0.3300 0.5000  -0.01
Al2 0.5000 0.5000 0.0000  -0.01
Ru3 0.1357 0.3643 0.0000  0.51
Ru4 0.3643 0.8643 0.0000  0.50

***

Entry 21:
First-principles (PBE-GGA) data for crystalline RbSeBr2F at its relaxed geometry, as listed in Alexandria via LeMat-Bulk.

Summary:
- final energy (hartree per atom) = -0.1088
- relative energy among the computed polymorphs (eV/f.u.) = 0.00
- energy relative to the elements, uncorrected (eV per atom) = -1.0263

a b c (Å): 5.6329 5.6329 4.4025
angles (deg): 90.00 90.00 90.00
Fractional positions:
Rb1 0.5000 0.5000 0.5000
Se1 0.0000 0.0000 0.0000
Br1 0.5000 0.0000 0.0000
F1 0.0000 0.0000 0.5000
Br2 0.0000 0.5000 0.0000

***

Entry 22:
First-principles (PBE-GGA) data for crystalline Ca2NdGeN at its relaxed geometry, as listed in Alexandria via LeMat-Bulk.

Summary:
- final energy (hartree per atom) = -0.1925
- energy relative to the elements, uncorrected (eV per atom) = -0.8952

a b c (Å): 4.9981 4.7722 4.7722
angles (deg): 90.00 90.00 90.00
Fractional positions:
Ca1 0.0000 0.5000 0.0000
Nd1 0.5000 0.0000 0.0000
N1 0.0000 0.0000 0.0000
Ge1 0.5000 0.5000 0.5000
Ca2 0.0000 0.0000 0.5000

***

Entry 23:
First-principles (PBE-GGA) data for crystalline AcMn4Se8 at its relaxed geometry, as listed in Alexandria via LeMat-Bulk.

Summary:
- final energy (hartree per atom) = -0.2194
- energy relative to the elements, uncorrected (eV per atom) = -0.6894

a b c (Å): 7.4119 7.4119 8.4975
angles (deg): 64.14 64.14 60.00
Last column: magnetic moment on the atom in μB.
Fractional positions:
Ac1 0.5000 0.5000 0.5000  0.09
Se1 0.7286 0.7286 0.8143  -0.11
Se2 0.7675 0.2698 0.1952  -0.04
Se3 0.2714 0.2714 0.1857  -0.11
Se4 0.2325 0.7302 0.8048  -0.04
Mn1 0.0000 0.5000 0.0000  3.48
Mn2 0.0000 0.0000 0.0000  4.02
Se5 0.7675 0.7675 0.1952  -0.04
Mn3 0.5000 0.0000 0.0000  3.48
Se6 0.2325 0.2325 0.8048  -0.04
Mn4 0.5000 0.5000 0.0000  3.48
Se7 0.2698 0.7675 0.1952  -0.04
Se8 0.7302 0.2325 0.8048  -0.04

***

Entry 24:
First-principles (PBE-GGA) data for crystalline AcTb3Ga2 at its relaxed geometry, as listed in Alexandria via LeMat-Bulk.

Summary:
- final energy (hartree per atom) = -0.1587
- calculated formation energy (eV per atom) = -0.3104

a b c (Å): 5.2649 9.4327 8.9365
angles (deg): 123.72 90.00 106.20
Fractional positions:
Ac1 0.1314 0.2627 0.0700
Ga1 0.5052 0.0105 0.8630
Ga2 0.2219 0.4438 0.8205
Tb1 0.3788 0.7577 0.2636
Tb2 0.0640 0.1280 0.4122
Ga3 0.7781 0.5562 0.1795
Tb3 0.9360 0.8720 0.5878
Tb4 0.6892 0.3785 0.3961
Ga4 0.4948 0.9895 0.1370
Tb5 0.6212 0.2423 0.7364
Tb6 0.3108 0.6215 0.6039
Ac2 0.8686 0.7373 0.9300